The following is a DFT calculation (GGA-PBE) of a relaxed AcScF crystal.

Output
Raw formation energy   -1.466 eV/atom
DOS(E_F)   1.0922 states/eV per atom

a b c (Å): 11.725 3.704 8.058
angles (deg): 90.00 96.74 90.00
Space group Cm (No. 8)
Unique sites:
Ac: 0.000 0.000 0.000
Ac: 0.234 0.500 0.322
Sc: 0.232 0.500 0.764
Sc: 0.441 0.000 0.614
F: 0.109 0.500 0.551
F: 0.287 0.500 0.023